This record from the Alexandria database describes Pr3Sm5In after structural relaxation. The functional is GGA-PBE.

```
data_Pr3Sm5In
_symmetry_space_group_name_H-M 'P 1'
_symmetry_Int_Tables_number 1
_symmetry_space_group_name_Hall 'P 1'
_cell_length_a 6.551
_cell_length_b 6.551
_cell_length_c 15.675
_cell_angle_alpha 81.24
_cell_angle_beta 81.24
_cell_angle_gamma 77.11
loop_
_atom_site_label
_atom_site_type_symbol
_atom_site_fract_x
_atom_site_fract_y
_atom_site_fract_z
Pr1 Pr 0.844 0.844 0.855
Pr2 Pr 0.648 0.648 0.538
Pr3 Pr 0.000 0.000 0.000
Pr4 Pr 0.000 0.000 0.500
Pr5 Pr 0.156 0.156 0.145
Pr6 Pr 0.352 0.352 0.462
Sm1 Sm 0.880 0.424 0.336
Sm2 Sm 0.329 0.671 0.000
Sm3 Sm 0.757 0.757 0.143
Sm4 Sm 0.431 0.431 0.223
Sm5 Sm 0.569 0.569 0.777
Sm6 Sm 0.243 0.243 0.857
Sm7 Sm 0.424 0.880 0.336
Sm8 Sm 0.671 0.329 0.000
Sm9 Sm 0.120 0.576 0.664
Sm10 Sm 0.576 0.120 0.664
In1 In 0.093 0.093 0.685
In2 In 0.907 0.907 0.315
```

* total moment: 0.00 μB/atom
* raw total energy: -4.295 eV/atom
* energy relative to the elements: 2.02 eV/f.u.